(1)
{"formula": "SrCuI2O", "functional": "GGA-PBE", "state": "optimized geometry", "lattice": [[6.447, 0.000, 0.000], [0.000, 6.447, 0.000], [0.000, 0.000, 4.242]], "species": ["Sr", "Cu", "I", "I", "O"], "frac_coords": [[0.000, 0.000, 0.000], [0.500, 0.500, 0.500], [0.000, 0.500, 0.000], [0.500, 0.000, 0.000], [0.000, 0.000, 0.500]], "total_energy_ev_per_atom": -3.022, "polymorph_energy_ev_per_atom": 0.512, "spacegroup": "P4/mmm (123)"}

***

(2)
{"formula": "TaCuIO6", "functional": "GGA-PBE", "state": "optimized geometry", "lattice": [[5.357, 0.000, 0.000], [-2.679, 4.640, 0.000], [0.000, 0.000, 9.057]], "species": ["Ta", "Ta", "Cu", "Cu", "I", "I", "O", "O", "O", "O", "O", "O", "O", "O", "O", "O", "O", "O"], "frac_coords": [[0.333, 0.667, 0.250], [0.667, 0.333, 0.750], [0.000, 0.000, 0.000], [0.000, 0.000, 0.500], [0.333, 0.667, 0.750], [0.667, 0.333, 0.250], [0.011, 0.354, 0.131], [0.011, 0.657, 0.369], [0.343, 0.354, 0.369], [0.343, 0.989, 0.131], [0.354, 0.011, 0.631], [0.354, 0.343, 0.869], [0.646, 0.657, 0.131], [0.646, 0.989, 0.369], [0.657, 0.011, 0.869], [0.657, 0.646, 0.631], [0.989, 0.343, 0.631], [0.989, 0.646, 0.869]], "total_energy_ev_per_atom": -6.362, "spacegroup": "P-31c (163)"}

***

(3)
{"formula": "TaCuIO2", "functional": "GGA-PBE", "state": "optimized geometry", "lattice": [[3.909, 0.000, 0.000], [0.000, 3.909, 0.000], [0.000, 0.000, 6.135]], "species": ["Ta", "Cu", "I", "O", "O"], "frac_coords": [[0.000, 0.000, 0.000], [0.500, 0.500, 0.500], [0.000, 0.000, 0.500], [0.000, 0.500, 0.000], [0.500, 0.000, 0.000]], "total_energy_ev_per_atom": -6.678, "polymorph_energy_ev_per_atom": 0.000, "spacegroup": "P4/mmm (123)"}

***

(4)
{"formula": "TaCuIO2", "functional": "GGA-PBE", "state": "optimized geometry", "lattice": [[3.972, 0.000, 0.000], [0.000, 3.972, 0.000], [0.000, 0.000, 4.910]], "species": ["Ta", "Cu", "I", "O", "O"], "frac_coords": [[0.000, 0.000, 0.000], [0.500, 0.500, 0.500], [0.500, 0.500, 0.000], [0.000, 0.500, 0.500], [0.500, 0.000, 0.500]], "total_energy_ev_per_atom": -4.811, "polymorph_energy_ev_per_atom": 1.867, "spacegroup": "P4/mmm (123)"}

***

(5)
{"formula": "TaCuI2O", "functional": "GGA-PBE", "state": "optimized geometry", "lattice": [[5.511, 0.000, 0.000], [0.000, 5.511, 0.000], [0.000, 0.000, 3.521]], "species": ["Ta", "Cu", "I", "I", "O"], "frac_coords": [[0.000, 0.000, 0.000], [0.500, 0.500, 0.500], [0.000, 0.500, 0.500], [0.500, 0.000, 0.500], [0.500, 0.500, 0.000]], "total_energy_ev_per_atom": -4.227, "polymorph_energy_ev_per_atom": 0.874, "spacegroup": "P4/mmm (123)"}

***

(6)
{"formula": "TaCuI2O", "functional": "GGA-PBE", "state": "optimized geometry", "lattice": [[5.611, 0.000, 0.000], [0.000, 5.611, 0.000], [0.000, 0.000, 3.874]], "species": ["Ta", "Cu", "I", "I", "O"], "frac_coords": [[0.000, 0.000, 0.000], [0.500, 0.500, 0.500], [0.000, 0.500, 0.000], [0.500, 0.000, 0.000], [0.000, 0.000, 0.500]], "total_energy_ev_per_atom": -5.101, "polymorph_energy_ev_per_atom": 0.000, "spacegroup": "P4/mmm (123)"}

***

(7)
{"formula": "CuTcI2O", "functional": "GGA-PBE", "state": "optimized geometry", "lattice": [[5.660, 0.000, 0.000], [0.000, 5.660, 0.000], [0.000, 0.000, 3.598]], "species": ["Cu", "Tc", "I", "I", "O"], "frac_coords": [[0.000, 0.000, 0.000], [0.500, 0.500, 0.500], [0.000, 0.500, 0.000], [0.500, 0.000, 0.000], [0.000, 0.000, 0.500]], "total_energy_ev_per_atom": -3.875, "polymorph_energy_ev_per_atom": 0.611, "spacegroup": "P4/mmm (123)"}

***

(8)
{"formula": "CuTcIO2", "functional": "GGA-PBE", "state": "optimized geometry", "lattice": [[3.803, 0.000, 0.000], [0.000, 3.803, 0.000], [0.000, 0.000, 6.042]], "species": ["Cu", "Tc", "I", "O", "O"], "frac_coords": [[0.000, 0.000, 0.000], [0.500, 0.500, 0.500], [0.500, 0.500, 0.000], [0.000, 0.500, 0.500], [0.500, 0.000, 0.500]], "total_energy_ev_per_atom": -5.709, "polymorph_energy_ev_per_atom": 0.000, "spacegroup": "P4/mmm (123)"}

***

(9)
{"formula": "CuTcIO2", "functional": "GGA-PBE", "state": "optimized geometry", "lattice": [[3.887, 0.000, 0.000], [0.000, 3.887, 0.000], [0.000, 0.000, 5.612]], "species": ["Cu", "Tc", "I", "O", "O"], "frac_coords": [[0.000, 0.000, 0.000], [0.500, 0.500, 0.500], [0.000, 0.000, 0.500], [0.000, 0.500, 0.000], [0.500, 0.000, 0.000]], "total_energy_ev_per_atom": -4.484, "polymorph_energy_ev_per_atom": 1.225, "spacegroup": "P4/mmm (123)"}

***

(10)
{"formula": "CuTcI2O", "functional": "GGA-PBE", "state": "optimized geometry", "lattice": [[5.554, 0.000, 0.000], [0.000, 5.554, 0.000], [0.000, 0.000, 3.733]], "species": ["Cu", "Tc", "I", "I", "O"], "frac_coords": [[0.000, 0.000, 0.000], [0.500, 0.500, 0.500], [0.000, 0.500, 0.500], [0.500, 0.000, 0.500], [0.500, 0.500, 0.000]], "total_energy_ev_per_atom": -4.487, "polymorph_energy_ev_per_atom": 0.000, "spacegroup": "P4/mmm (123)"}

***

(11)
{"formula": "CuTeIO2", "functional": "GGA-PBE", "state": "optimized geometry", "lattice": [[4.192, 0.000, 0.000], [0.000, 4.192, 0.000], [0.000, 0.000, 4.945]], "species": ["Cu", "Te", "I", "O", "O"], "frac_coords": [[0.000, 0.000, 0.000], [0.500, 0.500, 0.500], [0.000, 0.000, 0.500], [0.000, 0.500, 0.000], [0.500, 0.000, 0.000]], "total_energy_ev_per_atom": -3.253, "polymorph_energy_ev_per_atom": 0.675, "spacegroup": "P4/mmm (123)"}

***

(12)
{"formula": "CuTeIO2", "functional": "GGA-PBE", "state": "optimized geometry", "lattice": [[4.011, 0.000, 0.000], [0.000, 4.011, 0.000], [0.000, 0.000, 6.769]], "species": ["Cu", "Te", "I", "O", "O"], "frac_coords": [[0.000, 0.000, 0.000], [0.500, 0.500, 0.500], [0.500, 0.500, 0.000], [0.000, 0.500, 0.500], [0.500, 0.000, 0.500]], "total_energy_ev_per_atom": -3.928, "polymorph_energy_ev_per_atom": 0.000, "spacegroup": "P4/mmm (123)"}

***

(13)
{"formula": "CuTeI2O", "functional": "GGA-PBE", "state": "optimized geometry", "lattice": [[6.113, 0.000, 0.000], [0.000, 6.113, 0.000], [0.000, 0.000, 4.044]], "species": ["Cu", "Te", "I", "I", "O"], "frac_coords": [[0.000, 0.000, 0.000], [0.500, 0.500, 0.500], [0.000, 0.500, 0.500], [0.500, 0.000, 0.500], [0.500, 0.500, 0.000]], "total_energy_ev_per_atom": -2.846, "polymorph_energy_ev_per_atom": 0.038, "spacegroup": "P4/mmm (123)"}

***

(14)
{"formula": "CuTeI2O", "functional": "GGA-PBE", "state": "optimized geometry", "lattice": [[5.237, 0.000, 0.000], [0.000, 5.237, 0.000], [0.000, 0.000, 4.511]], "species": ["Cu", "Te", "I", "I", "O"], "frac_coords": [[0.000, 0.000, 0.000], [0.500, 0.500, 0.000], [0.000, 0.500, 0.500], [0.500, 0.000, 0.500], [0.500, 0.500, 0.500]], "total_energy_ev_per_atom": -2.486, "polymorph_energy_ev_per_atom": 0.398, "spacegroup": "P4/mmm (123)"}

***

(15)
{"formula": "CuTeI2O", "functional": "GGA-PBE", "state": "optimized geometry", "lattice": [[5.795, 0.000, 0.000], [0.000, 5.795, 0.000], [0.000, 0.000, 3.632]], "species": ["Cu", "Te", "I", "I", "O"], "frac_coords": [[0.000, 0.000, 0.000], [0.500, 0.500, 0.500], [0.000, 0.500, 0.000], [0.500, 0.000, 0.000], [0.000, 0.000, 0.500]], "total_energy_ev_per_atom": -2.884, "polymorph_energy_ev_per_atom": 0.000, "spacegroup": "P4/mmm (123)"}

***

(16)
{"formula": "CuTeI2O", "functional": "GGA-PBE", "state": "optimized geometry", "lattice": [[5.210, 0.000, 0.000], [0.000, 5.210, 0.000], [0.000, 0.000, 5.185]], "species": ["Cu", "Te", "I", "I", "O"], "frac_coords": [[0.000, 0.000, 0.000], [0.000, 0.000, 0.500], [0.000, 0.500, 0.000], [0.500, 0.000, 0.000], [0.500, 0.500, 0.500]], "total_energy_ev_per_atom": -2.170, "polymorph_energy_ev_per_atom": 0.714, "spacegroup": "P4/mmm (123)"}

***

(17)
{"formula": "TiCuI2O", "functional": "GGA-PBE", "state": "optimized geometry", "lattice": [[5.488, 0.000, 0.000], [0.000, 5.488, 0.000], [0.000, 0.000, 3.585]], "species": ["Ti", "Cu", "I", "I", "O"], "frac_coords": [[0.000, 0.000, 0.000], [0.500, 0.500, 0.500], [0.000, 0.500, 0.500], [0.500, 0.000, 0.500], [0.500, 0.500, 0.000]], "total_energy_ev_per_atom": -3.855, "polymorph_energy_ev_per_atom": 0.851, "spacegroup": "P4/mmm (123)"}

***

(18)
{"formula": "TiCuI2O", "functional": "GGA-PBE", "state": "optimized geometry", "lattice": [[5.644, 0.000, 0.000], [0.000, 5.644, 0.000], [0.000, 0.000, 3.736]], "species": ["Ti", "Cu", "I", "I", "O"], "frac_coords": [[0.000, 0.000, 0.000], [0.500, 0.500, 0.500], [0.000, 0.500, 0.000], [0.500, 0.000, 0.000], [0.000, 0.000, 0.500]], "total_energy_ev_per_atom": -4.706, "polymorph_energy_ev_per_atom": 0.000, "spacegroup": "P4/mmm (123)"}

***

(19)
{"formula": "TlCuI2O8", "functional": "GGA-PBE", "state": "optimized geometry", "lattice": [[2.714, 1.567, 8.599], [-2.714, 1.567, 8.599], [0.000, -3.133, 8.599]], "species": ["Tl", "Cu", "I", "I", "O", "O", "O", "O", "O", "O", "O", "O"], "frac_coords": [[0.000, 0.000, 0.000], [0.500, 0.500, 0.500], [0.236, 0.236, 0.236], [0.764, 0.764, 0.764], [0.128, 0.488, 0.741], [0.259, 0.872, 0.512], [0.307, 0.307, 0.307], [0.488, 0.741, 0.128], [0.512, 0.259, 0.872], [0.693, 0.693, 0.693], [0.741, 0.128, 0.488], [0.872, 0.512, 0.259]], "total_energy_ev_per_atom": -4.330, "spacegroup": "R-3 (148)"}

***

(20)
{"formula": "Tl2CuIO6", "functional": "GGA-PBE", "state": "optimized geometry", "lattice": [[6.199, 0.000, 0.000], [-3.099, 5.368, 0.000], [0.000, 0.000, 5.284]], "species": ["Tl", "Tl", "Cu", "I", "O", "O", "O", "O", "O", "O"], "frac_coords": [[0.333, 0.667, 0.245], [0.667, 0.333, 0.755], [0.000, 0.000, 0.500], [0.000, 0.000, 0.000], [0.139, 0.278, 0.772], [0.139, 0.861, 0.772], [0.278, 0.139, 0.228], [0.722, 0.861, 0.772], [0.861, 0.139, 0.228], [0.861, 0.722, 0.228]], "total_energy_ev_per_atom": -4.406, "spacegroup": "P-3m1 (164)"}

***

Size of the total moment in μB/atom, matching the order above: 0.000 0.114 0.000 0.000 0.235 0.000 1.014 0.000 0.982 0.000 0.000 0.000 0.000 0.000 0.192 0.000 0.000 0.162 0.007 0.199
Volume in Å³/f.u., matching the order above: 176.3 112.6 93.7 77.4 106.9 121.9 115.3 87.4 84.8 115.2 86.9 108.9 151.1 123.7 122.0 140.7 108.0 119.0 219.4 175.8